1.
First-principles (PBE-GGA) data for an optimized crystal structure of Ac3La3Tl2Cu, as listed in the Alexandria database.

Structure (extended XYZ):
```
9
Lattice="9.351 0.000 0.000 -4.675 8.098 0.000 0.000 0.000 4.046" Properties=species:S:1:pos:R:3 pbc="T T T"
Ac -3.515 6.089 0.000
Ac 1.160 2.009 0.000
Ac 7.031 0.000 0.000
La -1.903 3.296 2.023
La 3.806 0.000 2.023
La 2.772 4.802 2.023
Tl 0.000 5.399 0.000
Tl 4.675 2.699 0.000
Cu 0.000 0.000 2.023
```

Computed properties:
E (eV/atom): -4.204
Mass density (Mg/m³): 8.51
DFT formation energy (eV per atom): -0.21
Space group: P-62m, No. 189
Crystal system: hexagonal

2.
First-principles (PBE-GGA) data for an optimized crystal structure of Li3AcCu3, as listed in the Alexandria database.

Structure (extended XYZ):
```
14
Lattice="9.010 0.000 0.000 -4.505 7.803 0.000 0.000 0.000 4.200" Properties=species:S:1:pos:R:3 pbc="T T T"
Li -2.991 6.004 1.050
Li 0.800 2.210 1.050
Li 2.314 0.412 3.150
Li 2.190 7.390 1.050
Li 3.705 5.592 3.150
Li 7.496 1.798 3.150
Ac 0.000 5.202 3.150
Ac 4.505 2.601 1.050
Cu -1.627 3.575 1.050
Cu -0.595 7.424 1.050
Cu 2.283 3.197 3.150
Cu 2.222 4.606 1.050
Cu 5.100 0.378 3.150
Cu 6.132 4.227 3.150
```

Computed properties:
E (eV/atom): -3.199
Mass density (Mg/m³): 4.93
DFT formation energy (eV per atom): -0.04
Space group: P6_3/m, No. 176
Crystal system: hexagonal

3.
First-principles (PBE-GGA) data for an optimized crystal structure of Li5Ac2Cu12, as listed in the Alexandria database.

Structure (extended XYZ):
```
19
Lattice="4.440 2.564 4.313 -4.440 2.564 4.313 0.000 -5.127 4.313" Properties=species:S:1:pos:R:3 pbc="T T T"
Li -4.440 0.000 6.470
Li -2.220 1.282 2.157
Li 0.000 0.000 1.155
Li 2.220 1.282 2.157
Li 0.000 0.000 11.785
Ac 0.000 0.000 4.525
Ac 0.000 0.000 8.415
Cu -1.298 -2.879 4.313
Cu -3.142 0.316 4.313
Cu -2.229 -1.287 6.385
Cu 1.298 -2.879 4.313
Cu -1.845 2.564 4.313
Cu 0.000 -2.574 6.555
Cu -2.229 1.287 6.555
Cu 2.229 -1.287 6.385
Cu 0.000 2.574 6.385
Cu 3.142 0.316 4.313
Cu 1.845 2.564 4.313
Cu 2.229 1.287 6.555
```

Computed properties:
E (eV/atom): -3.600
Mass density (Mg/m³): 7.05
DFT formation energy (eV per atom): -0.08
Space group: R-3m, No. 166
Crystal system: trigonal